DFT (PBE with a Hubbard U) results for crystalline Ac2CoSiO6 at its relaxed geometry.

Calculated values
- DFT total energy (eV per cell) = -75.46
- total magnetic moment (μB/f.u.) = 3.00
- SG = No. 99

abc: 3.8722 5.5758 5.5758
angles: 90.00 90.00 90.00
Sites, in units of the cell vectors:
Ac 0.1381 0.0000 0.5000
Ac 0.1381 0.5000 0.0000
Si 0.6268 0.0000 0.0000
O 0.6495 0.2254 0.7746
O 0.1577 0.0000 0.0000
O 0.6495 0.2254 0.2254
O 0.1443 0.5000 0.5000
O 0.6495 0.7746 0.7746
O 0.6495 0.7746 0.2254
Co 0.6436 0.5000 0.5000